BaCuGe2Os PBE relaxed; N(E_F) = 1.11 states/eV/atom; symmetry = P4/mmm, No. 123; total magnetization = 1.4 μB/cell; volume = 23.85 A^3/atom; uncorrected energy = -4.277 eV/atom
1.0
4.622 0.000 0.000
0.000 4.622 0.000
0.000 0.000 5.582
Ba Cu Ge Os
1 1 2 1
Cartesian
0.000 0.000 0.000
0.000 0.000 2.791
0.000 2.311 2.791
2.311 0.000 2.791
2.311 2.311 0.000



BaCuGeP2 PBE relaxed; N(E_F) = 0.21 states/eV/atom; symmetry = C2/m, No. 12; total magnetization = 0.0 μB/cell; volume = 23.71 A^3/atom; uncorrected energy = -4.681 eV/atom
1.0
6.165 -2.208 0.000
6.165 2.208 0.000
-1.694 0.000 8.710
Ba Cu Ge P
2 2 2 4
Cartesian
1.737 0.000 1.630
8.899 0.000 7.080
1.008 0.000 4.915
9.627 0.000 3.794
4.953 0.000 2.702
5.683 0.000 6.008
-0.010 0.000 7.056
3.554 0.000 4.848
7.082 0.000 3.861
10.646 0.000 1.654



Ba2Cu3Ge4Pd PBE relaxed; N(E_F) = 0.66 states/eV/atom; symmetry = P-4m2, No. 115; total magnetization = 0.0 μB/cell; volume = 20.94 A^3/atom; uncorrected energy = -4.346 eV/atom
1.0
4.461 0.000 0.000
0.000 4.461 0.000
0.000 0.000 10.520
Ba Cu Ge Pd
2 3 4 1
Cartesian
0.000 2.230 2.630
2.230 0.000 7.891
0.000 0.000 0.000
0.000 2.230 6.524
2.230 0.000 3.997
0.000 0.000 5.260
0.000 2.230 9.271
2.230 0.000 1.249
2.230 2.230 5.260
2.230 2.230 0.000



BaCuGePd2 PBE relaxed; N(E_F) = 0.64 states/eV/atom; symmetry = P4/mmm, No. 123; total magnetization = 0.0 μB/cell; volume = 34.03 A^3/atom; energy above the most stable polymorph in this dataset = 1.708 eV per atom; uncorrected energy = -2.794 eV/atom
1.0
5.338 0.000 0.000
0.000 5.338 0.000
0.000 0.000 5.972
Ba Cu Ge Pd
1 1 1 2
Cartesian
0.000 0.000 0.000
2.669 2.669 2.986
0.000 0.000 2.986
0.000 2.669 0.000
2.669 0.000 0.000



BaCuGe2Pd PBE relaxed; N(E_F) = 0.60 states/eV/atom; symmetry = I-4m2, No. 119; total magnetization = 0.0 μB/cell; volume = 21.60 A^3/atom; uncorrected energy = -4.562 eV/atom
1.0
4.485 0.000 0.000
0.000 4.485 0.000
0.000 0.000 10.738
Ba Cu Ge Pd
2 2 4 2
Cartesian
0.000 0.000 0.000
2.242 2.242 5.369
0.000 2.242 2.685
2.242 0.000 8.054
0.000 0.000 3.894
0.000 0.000 6.844
2.242 2.242 1.475
2.242 2.242 9.263
0.000 2.242 8.054
2.242 0.000 2.685



Ba2CuGe4Pd3 PBE relaxed; N(E_F) = 0.47 states/eV/atom; symmetry = P-4m2, No. 115; total magnetization = 0.0 μB/cell; volume = 21.43 A^3/atom; uncorrected energy = -4.755 eV/atom
1.0
4.523 0.000 0.000
0.000 4.523 0.000
0.000 0.000 10.475
Ba Cu Ge Pd
2 1 4 3
Cartesian
0.000 2.262 2.615
2.262 0.000 7.860
0.000 0.000 5.238
0.000 0.000 0.000
0.000 2.262 6.468
2.262 0.000 4.007
2.262 2.262 0.000
0.000 2.262 9.167
2.262 0.000 1.309
2.262 2.262 5.238



BaCuGePd2 PBE relaxed; N(E_F) = 0.64 states/eV/atom; symmetry = P4/mmm, No. 123; total magnetization = 0.0 μB/cell; volume = 22.78 A^3/atom; energy above the most stable polymorph in this dataset = 0.000 eV per atom; uncorrected energy = -4.503 eV/atom
1.0
4.928 0.000 0.000
0.000 4.928 0.000
0.000 0.000 4.691
Ba Cu Ge Pd
1 1 1 2
Cartesian
0.000 0.000 0.000
2.464 2.464 0.000
2.464 2.464 2.345
0.000 2.464 2.345
2.464 0.000 2.345



Ba2CuGe3Pd4 PBE relaxed; N(E_F) = 0.39 states/eV/atom; symmetry = P-4m2, No. 115; total magnetization = 0.0 μB/cell; volume = 21.38 A^3/atom; uncorrected energy = -4.828 eV/atom
1.0
4.532 0.000 0.000
0.000 4.532 0.000
0.000 0.000 10.406
Ba Cu Ge Pd
2 1 3 4
Cartesian
0.000 2.266 2.539
2.266 0.000 7.867
2.266 2.266 0.000
0.000 0.000 0.000
0.000 2.266 6.420
2.266 0.000 3.986
0.000 0.000 5.203
0.000 2.266 9.101
2.266 0.000 1.305
2.266 2.266 5.203



BaPmCuGe PBE relaxed; N(E_F) = 0.31 states/eV/atom; symmetry = F-43m, No. 216; total magnetization = 0.0 μB/cell; volume = 27.54 A^3/atom; uncorrected energy = -4.091 eV/atom
1.0
7.610 0.000 0.000
0.000 7.610 0.000
0.000 0.000 7.610
Ba Pm Cu Ge
4 4 4 4
Cartesian
0.000 0.000 0.000
0.000 3.805 3.805
3.805 0.000 3.805
3.805 3.805 0.000
0.000 0.000 3.805
0.000 3.805 0.000
3.805 0.000 0.000
3.805 3.805 3.805
1.902 1.902 5.707
1.902 5.707 1.902
5.707 1.902 1.902
5.707 5.707 5.707
1.902 1.902 1.902
1.902 5.707 5.707
5.707 1.902 5.707
5.707 5.707 1.902



BaPm2Cu2Ge2 PBE relaxed; N(E_F) = 0.38 states/eV/atom; symmetry = R-3m, No. 166; total magnetization = 0.0 μB/cell; volume = 25.03 A^3/atom; uncorrected energy = -4.565 eV/atom
1.0
2.242 1.294 10.063
-2.242 1.294 10.063
0.000 -2.589 10.063
Ba Pm Cu Ge
1 2 2 2
Cartesian
0.000 0.000 0.000
0.000 0.000 3.926
0.000 0.000 26.264
0.000 0.000 12.531
0.000 0.000 17.658
0.000 0.000 7.589
0.000 0.000 22.601



BaPmCu2Ge2 PBE relaxed; N(E_F) = 0.47 states/eV/atom; symmetry = P-3m1, No. 164; total magnetization = 0.0 μB/cell; volume = 23.39 A^3/atom; uncorrected energy = -4.535 eV/atom
1.0
4.413 0.000 0.000
-2.207 3.822 0.000
0.000 0.000 8.321
Ba Pm Cu Ge
1 1 2 2
Cartesian
0.000 0.000 0.000
0.000 0.000 4.161
0.000 2.548 2.498
2.207 1.274 5.823
0.000 2.548 5.882
2.207 1.274 2.439



Ba2CuGe2Pt2 PBE relaxed; N(E_F) = 0.36 states/eV/atom; symmetry = C2/m, No. 12; total magnetization = 0.0 μB/cell; volume = 25.97 A^3/atom; uncorrected energy = -4.775 eV/atom
1.0
12.069 0.000 0.000
0.000 4.522 0.000
-5.124 0.000 6.661
Ba Cu Ge Pt
4 2 4 4
Cartesian
-0.722 0.000 1.922
1.633 2.261 4.739
5.313 2.261 1.922
7.667 0.000 4.739
-2.562 2.261 3.331
3.473 0.000 3.331
1.774 2.261 1.138
-0.863 0.000 5.523
7.808 0.000 1.138
5.171 2.261 5.523
-1.907 2.261 5.725
2.818 0.000 0.936
4.127 0.000 5.725
8.852 2.261 0.936